P.
The following is a PBE calculation of crystalline LiCrNi2 at its relaxed geometry, from the Alexandria database.

Unit cell a=4.1635 b=4.1635 c=4.1635 alpha=125.81 beta=125.81 gamma=80.20
Each line ends with the local moment (μB).
Sites, in units of the cell vectors:
Li 0.7500 0.2500 0.5000  -0.01
Ni 0.0000 0.0000 0.0000  0.21
Ni 0.5000 0.5000 0.0000  0.21
Cr 0.2500 0.7500 0.5000  2.17

Properties
**Symmetry**: No. 139
**Crystal system**: tetragonal
**DOS at the Fermi energy**: 5.36 states/eV per cell


Q.
The following is a PBE calculation of crystalline LiCrNi2 at its relaxed geometry, from the Alexandria database.

Unit cell a=3.9654 b=3.9654 c=3.9654 alpha=60.00 beta=60.00 gamma=60.00
Each line ends with the local moment (μB).
Sites, in units of the cell vectors:
Ni 0.0000 0.0000 0.0000  0.07
Ni 0.2500 0.2500 0.2500  -0.14
Cr 0.5000 0.5000 0.5000  0.79
Li 0.7500 0.7500 0.7500  0.00

Properties
**Symmetry**: No. 216
**Crystal system**: cubic
**DOS at the Fermi energy**: 5.16 states/eV per cell


Stability check: which of them is least stable? Q.


P.
The following is a PBE calculation of crystalline LiCrNi2 at its relaxed geometry, from the Alexandria database.

Unit cell a=6.3340 b=6.3340 c=5.1239 alpha=51.82 beta=51.82 gamma=90.00
Each line ends with the local moment (μB).
Sites, in units of the cell vectors:
Ni 0.3750 0.3771 0.7500  0.13
Ni 0.8750 0.8729 0.7500  0.11
Ni 0.6229 0.1250 0.2500  0.11
Ni 0.1271 0.6250 0.2500  0.09
Li 0.5000 0.5000 0.0000  0.02
Li 0.2500 0.7500 0.5000  0.02
Cr 0.7500 0.2500 0.5000  2.62
Cr 0.0000 0.0000 0.0000  2.60

Properties
**Symmetry**: No. 122
**Crystal system**: tetragonal
**DOS at the Fermi energy**: 7.85 states/eV per cell


Q.
The following is a PBE calculation of crystalline LiCrNi2 at its relaxed geometry, from the Alexandria database.

Unit cell a=2.5299 b=2.5299 c=7.1503 alpha=90.00 beta=90.00 gamma=90.00
Sites, in units of the cell vectors:
Li 0.5000 0.5000 0.5000
Ni 0.0000 0.0000 0.7633
Ni 0.0000 0.0000 0.2367
Cr 0.5000 0.5000 0.0000

Properties
**Symmetry**: No. 123
**Crystal system**: tetragonal
**DOS at the Fermi energy**: 3.21 states/eV per cell


Stability check: which of them is least stable? P.


P.
The following is a PBE calculation of crystalline Li2CrNi at its relaxed geometry, from the Alexandria database.

Unit cell a=4.9928 b=4.9928 c=4.9928 alpha=145.97 beta=127.77 gamma=63.82
Each line ends with the local moment (μB).
Sites, in units of the cell vectors:
Li 0.7392 0.2392 0.5000  0.01
Li 0.9940 0.9940 0.0000  -0.01
Ni 0.4992 0.4992 0.0000  0.26
Cr 0.2675 0.7675 0.5000  3.34

Properties
**Symmetry**: No. 44
**Crystal system**: orthorhombic
**DOS at the Fermi energy**: 2.68 states/eV per cell


Q.
The following is a PBE calculation of crystalline Li2CrNi at its relaxed geometry, from the Alexandria database.

Unit cell a=9.0846 b=9.0846 c=9.0846 alpha=15.74 beta=15.74 gamma=15.74
Each line ends with the local moment (μB).
Sites, in units of the cell vectors:
Cr 0.7500 0.7500 0.7500  0.40
Ni 0.2500 0.2500 0.2500  0.06
Li 0.9952 0.9952 0.9952  -0.01
Li 0.5048 0.5048 0.5048  -0.01

Properties
**Symmetry**: No. 166
**Crystal system**: trigonal
**DOS at the Fermi energy**: 4.85 states/eV per cell


R.
The following is a PBE calculation of crystalline Li2CrNi at its relaxed geometry, from the Alexandria database.

Unit cell a=6.5782 b=6.5782 c=5.1975 alpha=50.74 beta=50.74 gamma=90.00
Sites, in units of the cell vectors:
Ni 0.0000 0.0000 0.0000
Ni 0.7500 0.2500 0.5000
Cr 0.2500 0.7500 0.5000
Cr 0.5000 0.5000 0.0000
Li 0.8750 0.8948 0.7500
Li 0.6448 0.1250 0.2500
Li 0.1052 0.6250 0.2500
Li 0.3750 0.3552 0.7500

Properties
**Symmetry**: No. 122
**Crystal system**: tetragonal
**DOS at the Fermi energy**: 9.81 states/eV per cell


S.
The following is a PBE calculation of crystalline Li2CrNi at its relaxed geometry, from the Alexandria database.

Unit cell a=2.4617 b=2.4617 c=8.8861 alpha=90.00 beta=90.00 gamma=108.58
Sites, in units of the cell vectors:
Ni 0.0000 0.0000 0.5104
Li 0.0000 0.0000 0.9847
Li 0.5000 0.5000 0.2769
Cr 0.5000 0.5000 0.7280

Properties
**Symmetry**: No. 35
**Crystal system**: orthorhombic
**DOS at the Fermi energy**: 3.91 states/eV per cell


Stability check: which of them is least stable? R.


P.
The following is a PBE calculation of crystalline Li2CrNi at its relaxed geometry, from the Alexandria database.

Unit cell a=5.1937 b=5.1937 c=5.1937 alpha=150.01 beta=131.44 gamma=58.13
Each line ends with the local moment (μB).
Sites, in units of the cell vectors:
Ni 0.7500 0.2500 0.5000  0.22
Li 0.9803 0.9803 0.0000  -0.04
Li 0.5197 0.5197 0.0000  -0.04
Cr 0.2500 0.7500 0.5000  2.76

Properties
**Symmetry**: No. 71
**Crystal system**: orthorhombic
**DOS at the Fermi energy**: 3.11 states/eV per cell


Q.
The following is a PBE calculation of crystalline Li2CrNi at its relaxed geometry, from the Alexandria database.

Unit cell a=4.8655 b=4.8655 c=2.6748 alpha=90.00 beta=90.00 gamma=119.00
Each line ends with the local moment (μB).
Sites, in units of the cell vectors:
Li 0.5000 0.5000 0.0000  0.00
Li 0.0000 0.0000 0.0000  0.00
Ni 0.5000 0.0000 0.5000  0.27
Cr 0.0000 0.5000 0.5000  3.42

Properties
**Symmetry**: No. 65
**Crystal system**: orthorhombic
**DOS at the Fermi energy**: 2.88 states/eV per cell


R.
The following is a PBE calculation of crystalline Li2CrNi at its relaxed geometry, from the Alexandria database.

Unit cell a=4.0258 b=4.0258 c=4.0258 alpha=120.03 beta=120.03 gamma=89.94
Each line ends with the local moment (μB).
Sites, in units of the cell vectors:
Ni 0.5000 0.5000 0.0000  -0.05
Li 0.2500 0.7500 0.5000  -0.01
Li 0.0000 0.0000 0.0000  -0.01
Cr 0.7500 0.2500 0.5000  0.27

Properties
**Symmetry**: No. 216
**Crystal system**: cubic
**DOS at the Fermi energy**: 1.85 states/eV per cell


Stability check: which of them is least stable? Q.